(1)
A relaxed structure of K2HgAsF6, computed with GGA-PBE.

```
K2HgAsF6
1.0
0.000 4.630 4.630
4.630 0.000 4.630
4.630 4.630 0.000
K Hg As F
2 1 1 6
direct
0.250 0.250 0.250 K
0.750 0.750 0.750 K
0.000 0.000 0.000 Hg
0.500 0.500 0.500 As
0.283 0.283 0.717 F
0.283 0.717 0.283 F
0.283 0.717 0.717 F
0.717 0.283 0.283 F
0.717 0.283 0.717 F
0.717 0.717 0.283 F
```

## Properties
Calculated density = 3.91 Mg/m³
SG = No. 225
Offset from the most stable computed form = 59 meV/atom
Uncorrected formation energy = -2.104 eV per atom


(2)
A relaxed structure of MnTeC2S, computed with GGA-PBE.

```
MnTeC2S
1.0
3.821 0.000 0.000
0.000 3.821 0.000
0.000 0.000 4.517
Mn Te C S
1 1 2 1
direct
0.000 0.000 0.000 Mn
0.500 0.500 0.000 Te
0.000 0.500 0.500 C
0.500 0.000 0.500 C
0.000 0.000 0.500 S
```

## Properties
Calculated density = 6.01 Mg/m³
SG = No. 123
Uncorrected formation energy = 2.106 eV per atom


Quick rundown of Fermi-level density of states, same order as above: 0.188; 1.063 states/eV/atom